1.
VASP calculation (PBE) on an optimized crystal structure of VHg2Ge.

Summary:
relative energy among the computed polymorphs = 0.000 eV per formula unit

a = 6.887 Å, b = 6.887 Å, c = 6.887 Å
α = 90.00°, β = 90.00°, γ = 90.00°
Space group Fm-3m (No. 225)
Asymmetric unit:
V  0.000  0.000  0.000 (multiplicity 4)
Hg  0.250  0.250  0.250 (multiplicity 8)
Ge  0.000  0.000  0.500 (multiplicity 4)

=====

2.
VASP calculation (PBE) on an optimized crystal structure of VHg3Ge.

Summary:
relative energy among the computed polymorphs = 0.000 eV per formula unit

a = 5.254 Å, b = 5.254 Å, c = 5.254 Å
α = 90.00°, β = 90.00°, γ = 90.00°
Space group Pm-3m (No. 221)
Asymmetric unit:
V  0.000  0.000  0.000 (multiplicity 1)
Hg  0.000  0.000  0.500 (multiplicity 3)
Ge  0.500  0.500  0.500 (multiplicity 1)

=====

3.
VASP calculation (PBE) on an optimized crystal structure of VHg3Ge.

Summary:
relative energy among the computed polymorphs = 0.367 eV per formula unit

a = 5.207 Å, b = 5.207 Å, c = 5.207 Å
α = 90.00°, β = 90.00°, γ = 90.00°
Space group Pm-3m (No. 221)
Asymmetric unit:
V  0.000  0.000  0.000 (multiplicity 1)
Hg  0.000  0.500  0.500 (multiplicity 3)
Ge  0.500  0.500  0.500 (multiplicity 1)

=====

4.
VASP calculation (PBE) on an optimized crystal structure of YV2HgGe.

a = 4.949 Å, b = 4.949 Å, c = 5.308 Å
α = 90.00°, β = 90.00°, γ = 90.00°
Space group P4/mmm (No. 123)
Asymmetric unit:
Y  0.000  0.000  0.000 (multiplicity 1)
V  0.000  0.500  0.000 (multiplicity 2)
Hg  0.500  0.500  0.500 (multiplicity 1)
Ge  0.000  0.000  0.500 (multiplicity 1)

=====

5.
VASP calculation (PBE) on an optimized crystal structure of ZrVHgGe2.

a = 4.775 Å, b = 4.775 Å, c = 4.879 Å
α = 90.00°, β = 90.00°, γ = 90.00°
Space group P4/mmm (No. 123)
Asymmetric unit:
Zr  0.000  0.000  0.000 (multiplicity 1)
V  0.000  0.000  0.500 (multiplicity 1)
Hg  0.500  0.500  0.000 (multiplicity 1)
Ge  0.000  0.500  0.500 (multiplicity 2)

=====

6.
VASP calculation (PBE) on an optimized crystal structure of HgGeW2.

Summary:
relative energy among the computed polymorphs = 0.000 eV per formula unit

a = 6.449 Å, b = 6.449 Å, c = 6.449 Å
α = 90.00°, β = 90.00°, γ = 90.00°
Space group Fm-3m (No. 225)
Asymmetric unit:
Hg  0.000  0.000  0.000 (multiplicity 4)
Ge  0.000  0.000  0.500 (multiplicity 4)
W  0.250  0.250  0.250 (multiplicity 8)

=====

7.
VASP calculation (PBE) on an optimized crystal structure of HgGe3W.

Summary:
relative energy among the computed polymorphs = 0.000 eV per formula unit

a = 4.954 Å, b = 4.954 Å, c = 4.954 Å
α = 90.00°, β = 90.00°, γ = 90.00°
Space group Pm-3m (No. 221)
Asymmetric unit:
Hg  0.000  0.000  0.000 (multiplicity 1)
Ge  0.000  0.500  0.500 (multiplicity 3)
W  0.500  0.500  0.500 (multiplicity 1)

=====

8.
VASP calculation (PBE) on an optimized crystal structure of HgGeW2.

Summary:
relative energy among the computed polymorphs = 0.631 eV per formula unit

a = 7.366 Å, b = 7.366 Å, c = 5.425 Å
α = 90.00°, β = 90.00°, γ = 90.00°
Space group I-42d (No. 122)
Asymmetric unit:
Hg  0.000  0.000  0.000 (multiplicity 4)
Ge  0.000  0.000  0.500 (multiplicity 4)
W  0.212  0.250  0.625 (multiplicity 8)

=====

9.
VASP calculation (PBE) on an optimized crystal structure of HgGe2W.

a = 6.090 Å, b = 6.090 Å, c = 11.550 Å
α = 90.00°, β = 90.00°, γ = 90.00°
Space group I-42d (No. 122)
Asymmetric unit:
Hg  0.000  0.000  0.000 (multiplicity 4)
Ge  0.206  0.250  0.625 (multiplicity 8)
W  0.000  0.000  0.500 (multiplicity 4)

=====

10.
VASP calculation (PBE) on an optimized crystal structure of YHgGe.

a = 4.204 Å, b = 16.952 Å, c = 3.965 Å
α = 90.00°, β = 90.00°, γ = 90.00°
Space group Cmcm (No. 63)
Asymmetric unit:
Y  0.000  0.094  0.250 (multiplicity 4)
Hg  0.000  0.282  0.250 (multiplicity 4)
Ge  0.000  0.450  0.250 (multiplicity 4)

=====

11.
VASP calculation (PBE) on an optimized crystal structure of Y2HgGe.

a = 7.884 Å, b = 7.884 Å, c = 7.101 Å
α = 90.00°, β = 90.00°, γ = 90.00°
Space group I-42d (No. 122)
Asymmetric unit:
Y  0.232  0.250  0.125 (multiplicity 8)
Hg  0.000  0.000  0.500 (multiplicity 4)
Ge  0.000  0.000  0.000 (multiplicity 4)

=====

12.
VASP calculation (PBE) on an optimized crystal structure of Y2HgGe2.

a = 5.454 Å, b = 5.454 Å, c = 9.245 Å
α = 90.00°, β = 90.00°, γ = 90.00°
Space group I4/mmm (No. 139)
Asymmetric unit:
Y  0.000  0.500  0.250 (multiplicity 4)
Hg  0.000  0.000  0.000 (multiplicity 2)
Ge  0.000  0.000  0.361 (multiplicity 4)

=====

13.
VASP calculation (PBE) on an optimized crystal structure of Y2HgGe2.

a = 3.856 Å, b = 14.828 Å, c = 4.100 Å
α = 90.00°, β = 90.00°, γ = 90.00°
Space group Cmmm (No. 65)
Asymmetric unit:
Y  0.000  0.134  0.000 (multiplicity 4)
Hg  0.000  0.500  0.500 (multiplicity 2)
Ge  0.000  0.306  0.500 (multiplicity 4)

=====

14.
VASP calculation (PBE) on an optimized crystal structure of Y2Hg2Ge.

Summary:
relative energy among the computed polymorphs = 0.383 eV per formula unit

a = 7.986 Å, b = 7.986 Å, c = 4.194 Å
α = 90.00°, β = 90.00°, γ = 90.00°
Space group P4/mbm (No. 127)
Asymmetric unit:
Y  0.167  0.333  0.000 (multiplicity 4)
Hg  0.137  0.637  0.500 (multiplicity 4)
Ge  0.000  0.000  0.000 (multiplicity 2)

=====

15.
VASP calculation (PBE) on an optimized crystal structure of Y2HgGe.

a = 5.091 Å, b = 5.091 Å, c = 3.764 Å
α = 90.00°, β = 90.00°, γ = 90.00°
Space group P4/mmm (No. 123)
Asymmetric unit:
Y  0.000  0.500  0.000 (multiplicity 2)
Hg  0.000  0.000  0.500 (multiplicity 1)
Ge  0.500  0.500  0.500 (multiplicity 1)

=====

16.
VASP calculation (PBE) on an optimized crystal structure of YHg2Ge.

a = 4.247 Å, b = 4.247 Å, c = 22.241 Å
α = 90.00°, β = 90.00°, γ = 90.00°
Space group I-42d (No. 122)
Asymmetric unit:
Y  0.000  0.000  0.000 (multiplicity 4)
Hg  0.240  0.250  0.625 (multiplicity 8)
Ge  0.000  0.000  0.500 (multiplicity 4)

=====

17.
VASP calculation (PBE) on an optimized crystal structure of YHg2Ge2.

Summary:
relative energy among the computed polymorphs = 0.000 eV per formula unit

a = 4.210 Å, b = 4.210 Å, c = 13.092 Å
α = 90.00°, β = 90.00°, γ = 90.00°
Space group I4/mmm (No. 139)
Asymmetric unit:
Y  0.000  0.000  0.000 (multiplicity 2)
Hg  0.000  0.500  0.250 (multiplicity 4)
Ge  0.000  0.000  0.405 (multiplicity 4)

=====

18.
VASP calculation (PBE) on an optimized crystal structure of YHg2Ge2.

Summary:
relative energy among the computed polymorphs = 0.347 eV per formula unit

a = 8.063 Å, b = 8.063 Å, c = 3.551 Å
α = 90.00°, β = 90.00°, γ = 90.00°
Space group P4/mbm (No. 127)
Asymmetric unit:
Y  0.000  0.000  0.000 (multiplicity 2)
Hg  0.125  0.375  0.000 (multiplicity 4)
Ge  0.182  0.682  0.500 (multiplicity 4)

=====

19.
VASP calculation (PBE) on an optimized crystal structure of YHg3Ge.

Summary:
relative energy among the computed polymorphs = 0.000 eV per formula unit

a = 5.200 Å, b = 5.200 Å, c = 5.200 Å
α = 90.00°, β = 90.00°, γ = 90.00°
Space group Pm-3m (No. 221)
Asymmetric unit:
Y  0.000  0.000  0.000 (multiplicity 1)
Hg  0.000  0.500  0.500 (multiplicity 3)
Ge  0.500  0.500  0.500 (multiplicity 1)

=====

20.
VASP calculation (PBE) on an optimized crystal structure of YHg2Ge.

a = 4.308 Å, b = 4.308 Å, c = 4.926 Å
α = 90.00°, β = 90.00°, γ = 90.00°
Space group P4/mmm (No. 123)
Asymmetric unit:
Y  0.000  0.000  0.000 (multiplicity 1)
Hg  0.000  0.500  0.500 (multiplicity 2)
Ge  0.500  0.500  0.000 (multiplicity 1)

=====

21.
VASP calculation (PBE) on an optimized crystal structure of Y8HgGe5.

a = 8.917 Å, b = 8.917 Å, c = 8.911 Å
α = 90.00°, β = 90.00°, γ = 90.00°
Space group I-4 (No. 82)
Asymmetric unit:
Y  0.067  0.325  0.442 (multiplicity 8)
Y  0.069  0.188  0.815 (multiplicity 8)
Hg  0.000  0.000  0.500 (multiplicity 2)
Ge  0.000  0.500  0.750 (multiplicity 2)
Ge  0.129  0.250  0.128 (multiplicity 8)

=====

22.
VASP calculation (PBE) on an optimized crystal structure of YHgGe.

a = 4.4435 Å, b = 4.4435 Å, c = 4.1369 Å
α = 90.00°, β = 90.00°, γ = 120.00°
Space group P3m1 (No. 156)
Asymmetric unit:
Y  0.0000  0.0000  0.0000 (multiplicity 1)
Hg  0.3333  0.6667  0.5828 (multiplicity 1)
Ge  0.6667  0.3333  0.3812 (multiplicity 1)

=====

23.
VASP calculation (PBE) on an optimized crystal structure of Y4Hg5Ge2.

a = 7.711 Å, b = 3.864 Å, c = 9.176 Å
α = 90.00°, β = 95.53°, γ = 90.00°
Space group P2/m (No. 10)
Asymmetric unit:
Y  0.191  0.000  0.357 (multiplicity 2)
Y  0.237  0.000  0.925 (multiplicity 2)
Hg  0.154  0.500  0.632 (multiplicity 2)
Hg  0.462  0.500  0.171 (multiplicity 2)
Hg  0.500  0.500  0.500 (multiplicity 1)
Ge  0.073  0.500  0.128 (multiplicity 2)

=====

24.
VASP calculation (PBE) on an optimized crystal structure of Y2HgGe2.

a = 3.814 Å, b = 3.814 Å, c = 16.876 Å
α = 90.00°, β = 90.00°, γ = 90.00°
Space group I4/mmm (No. 139)
Asymmetric unit:
Y  0.000  0.000  0.111 (multiplicity 4)
Hg  0.000  0.000  0.500 (multiplicity 2)
Ge  0.000  0.500  0.250 (multiplicity 4)

=====

25.
VASP calculation (PBE) on an optimized crystal structure of Y2Hg2Ge.

Summary:
relative energy among the computed polymorphs = 2.409 eV per formula unit

a = 5.077 Å, b = 5.077 Å, c = 11.506 Å
α = 90.00°, β = 90.00°, γ = 90.00°
Space group I4/mmm (No. 139)
Asymmetric unit:
Y  0.000  0.500  0.250 (multiplicity 4)
Hg  0.000  0.000  0.115 (multiplicity 4)
Ge  0.000  0.000  0.500 (multiplicity 2)

=====

26.
VASP calculation (PBE) on an optimized crystal structure of Y2Hg2Ge.

Summary:
relative energy among the computed polymorphs = 0.000 eV per formula unit

a = 7.440 Å, b = 7.440 Å, c = 4.515 Å
α = 90.00°, β = 90.00°, γ = 90.00°
Space group P4/mbm (No. 127)
Asymmetric unit:
Y  0.170  0.330  0.000 (multiplicity 4)
Hg  0.135  0.635  0.500 (multiplicity 4)
Ge  0.000  0.000  0.500 (multiplicity 2)

=====

27.
VASP calculation (PBE) on an optimized crystal structure of YHg3Ge.

Summary:
relative energy among the computed polymorphs = 2.373 eV per formula unit

a = 5.736 Å, b = 5.736 Å, c = 5.736 Å
α = 90.00°, β = 90.00°, γ = 90.00°
Space group Pm-3m (No. 221)
Asymmetric unit:
Y  0.000  0.000  0.000 (multiplicity 1)
Hg  0.000  0.000  0.500 (multiplicity 3)
Ge  0.500  0.500  0.500 (multiplicity 1)

=====

| no. | theoretical density (g cm⁻³) | energy of formation (eV per atom) |
| --- | --- | --- |
| 1 | 10.7 | 0.47 |
| 2 | 8.3 | 0.81 |
| 3 | 8.5 | 0.89 |
| 4 | 5.9 | 1.61 |
| 5 | 7.3 | 0.28 |
| 6 | 15.9 | 0.87 |
| 7 | 8.2 | 0.33 |
| 8 | 14.5 | 1.03 |
| 9 | 8.2 | 0.90 |
| 10 | 8.5 | -0.54 |
| 11 | 6.8 | -0.36 |
| 12 | 6.3 | -0.30 |
| 13 | 7.4 | -0.65 |
| 14 | 8.1 | -0.31 |
| 15 | 7.7 | -0.59 |
| 16 | 9.3 | -0.26 |
| 17 | 9.1 | -0.12 |
| 18 | 9.1 | -0.05 |
| 19 | 9.0 | 0.22 |
| 20 | 10.2 | -0.39 |
| 21 | 6.0 | -0.78 |
| 22 | 8.5 | -0.47 |
| 23 | 9.2 | -0.50 |
| 24 | 7.1 | -0.42 |
| 25 | 7.3 | 0.09 |
| 26 | 8.7 | -0.39 |
| 27 | 6.7 | 0.69 |